(1)
{"formula": "YAlCl", "functional": "PBE-GGA", "state": "relaxed", "lattice": [[-4.1097, -5.5523, -4.4464], [-1.0846, -7.0218, -4.1237], [-1.2421, -2.0296, 2.3986]], "species": ["Y", "Al", "Cl"], "frac_coords": [[0.6730, 0.6730, 0.3270], [0.0493, 0.0493, 0.9507], [0.2777, 0.2777, 0.7223]], "rho_g_cm3": 2.80}

(2)
{"formula": "YAlCl", "functional": "PBE-GGA", "state": "relaxed", "lattice": [[4.7532, 0.0000, 0.0000], [-2.3766, 4.1164, 0.0000], [0.0000, 0.0000, 3.6950]], "species": ["Y", "Al", "Cl"], "frac_coords": [[0.3333, 0.6667, 0.4999], [0.0000, 0.0000, 0.9997], [0.6667, 0.3333, 0.5003]], "rho_g_cm3": 3.48}

(3)
{"formula": "Y2AlCl", "functional": "PBE-GGA", "state": "relaxed", "lattice": [[-2.9685, 2.0247, -0.4497], [-1.7967, -0.0938, -3.1427], [-6.4373, -5.8072, 1.7670]], "species": ["Y", "Y", "Al", "Cl"], "frac_coords": [[0.0835, 0.0835, 0.7496], [0.2512, 0.2512, 0.2463], [0.6676, 0.6676, 0.9973], [0.4977, 0.4977, 0.5068]], "rho_g_cm3": 4.09, "polymorph_energy_mev_per_atom": 75}

(4)
{"formula": "YAlCl2", "functional": "PBE-GGA", "state": "relaxed", "lattice": [[4.6321, 0.0000, 0.0000], [0.0000, 3.7136, -0.0016], [0.0000, -0.1008, 5.5671]], "species": ["Cl", "Cl", "Al", "Y"], "frac_coords": [[0.0000, 0.4678, 0.4961], [0.0000, 0.0322, 0.0039], [0.5000, 0.7500, 0.7500], [0.5000, 0.2500, 0.2500]], "rho_g_cm3": 3.24, "polymorph_energy_mev_per_atom": 111}

(5)
{"formula": "YAlCl2", "functional": "PBE-GGA", "state": "relaxed", "lattice": [[5.4187, 0.0021, 0.0000], [1.6624, 5.1574, 0.0000], [-3.5406, -2.5797, 3.1894]], "species": ["Y", "Al", "Cl", "Cl"], "frac_coords": [[0.2500, 0.7500, 0.5000], [0.7500, 0.2500, 0.5000], [0.5000, 0.5000, 0.0000], [0.0000, 0.0000, 0.0000]], "rho_g_cm3": 3.48, "polymorph_energy_mev_per_atom": 289}

(6)
{"formula": "YAl2Cl", "functional": "PBE-GGA", "state": "relaxed", "lattice": [[-3.7257, -2.3466, 4.4477], [-1.4610, -4.7072, 3.8571], [2.3475, 1.3801, 3.4851]], "species": ["Al", "Al", "Cl", "Y"], "frac_coords": [[0.4867, 0.4867, 0.5163], [0.0133, 0.0133, 0.9837], [0.2500, 0.2500, 0.2500], [0.7500, 0.7500, 0.7500]], "rho_g_cm3": 3.37, "polymorph_energy_mev_per_atom": 31}

(7)
{"formula": "Y2AlCl", "functional": "PBE-GGA", "state": "relaxed", "lattice": [[-0.8613, 3.2700, 0.7190], [-0.9839, 0.4895, -3.4046], [-7.6414, -2.4214, 1.8588]], "species": ["Y", "Y", "Cl", "Al"], "frac_coords": [[0.0000, 0.7501, 0.0263], [0.0000, 0.7499, 0.4737], [0.5000, 0.7500, 0.7500], [0.5000, 0.2500, 0.2500]], "rho_g_cm3": 3.92, "polymorph_energy_mev_per_atom": 0}

(8)
{"formula": "YAlCl2", "functional": "PBE-GGA", "state": "relaxed", "lattice": [[4.6482, 0.0000, 0.0000], [0.0000, 4.6482, 0.0000], [2.3241, 2.3241, 9.2565]], "species": ["Y", "Y", "Cl", "Cl", "Cl", "Cl", "Al", "Al"], "frac_coords": [[0.7500, 0.2500, 0.5000], [0.0000, 0.0000, 0.0000], [0.3750, 0.3613, 0.7500], [0.6387, 0.1250, 0.2500], [0.1113, 0.6250, 0.2500], [0.8750, 0.8887, 0.7500], [0.2500, 0.7500, 0.5000], [0.5000, 0.5000, 0.0000]], "rho_g_cm3": 3.10, "polymorph_energy_mev_per_atom": 212}

(9)
{"formula": "Y2AlCl", "functional": "PBE-GGA", "state": "relaxed", "lattice": [[-0.4574, -1.2145, 3.1888], [0.6217, -3.1931, -1.1270], [10.0635, 1.2781, 1.9302]], "species": ["Al", "Y", "Y", "Cl"], "frac_coords": [[0.0000, 0.0000, 0.4296], [0.5000, 0.5000, 0.2541], [0.0000, 0.0000, 0.9848], [0.5000, 0.5000, 0.8315]], "rho_g_cm3": 3.26, "polymorph_energy_mev_per_atom": 318}

(10)
{"formula": "YAl2Cl", "functional": "PBE-GGA", "state": "relaxed", "lattice": [[-3.2204, 4.5427, -2.1458], [-2.7867, -2.4457, -0.9952], [-1.6370, 0.4650, 3.4412]], "species": ["Al", "Al", "Y", "Cl"], "frac_coords": [[0.0000, 0.5000, 0.5000], [0.0000, 0.0000, 0.0000], [0.5000, 0.0000, 0.5000], [0.5000, 0.5000, 0.0000]], "rho_g_cm3": 3.37, "polymorph_energy_mev_per_atom": 65}

(11)
{"formula": "YAl2Cl", "functional": "PBE-GGA", "state": "relaxed", "lattice": [[-5.3653, 2.4056, 2.6405], [0.1406, -5.5320, -0.4746], [-0.5652, -0.3125, 3.2699]], "species": ["Y", "Al", "Al", "Cl"], "frac_coords": [[0.5000, 0.5000, 0.0000], [0.0000, 0.0000, 0.0000], [0.5000, 0.0000, 0.5000], [0.0000, 0.5000, 0.5000]], "rho_g_cm3": 3.33, "polymorph_energy_mev_per_atom": 245}

(12)
{"formula": "YAlCl2", "functional": "PBE-GGA", "state": "relaxed", "lattice": [[-3.2200, -0.0346, -0.7107], [0.7049, -0.6027, -3.1646], [-0.3298, -11.0600, 2.0329]], "species": ["Cl", "Cl", "Al", "Y"], "frac_coords": [[0.0000, 0.0000, 0.1072], [0.0000, 0.0000, 0.3928], [0.5000, 0.5000, 0.7500], [0.5000, 0.5000, 0.2500]], "rho_g_cm3": 2.54, "polymorph_energy_mev_per_atom": 70}

Number 1: total moment 0.00 μB/atom, formation energy (no corrections) -707.1 meV per atom, V 29.9 A^3/atom. Number 2: total moment 0.00 μB/atom, formation energy (no corrections) -546.3 meV per atom, V 24.1 A^3/atom. Number 3: total moment 0.06 μB/atom, formation energy (no corrections) -794.0 meV per atom, V 24.4 A^3/atom. Number 4: total moment 0.00 μB/atom, formation energy (no corrections) -954.2 meV per atom, V 23.9 A^3/atom. Number 5: total moment 0.00 μB/atom, formation energy (no corrections) -776.3 meV per atom, V 22.3 A^3/atom. Number 6: total moment 0.00 μB/atom, formation energy (no corrections) -499.1 meV per atom, V 22.0 A^3/atom. Number 7: total moment 0.00 μB/atom, formation energy (no corrections) -869.2 meV per atom, V 25.4 A^3/atom. Number 8: total moment 0.06 μB/atom, formation energy (no corrections) -852.9 meV per atom, V 25.0 A^3/atom. Number 9: total moment 0.00 μB/atom, formation energy (no corrections) -551.3 meV per atom, V 30.6 A^3/atom. Number 10: total moment 0.00 μB/atom, formation energy (no corrections) -465.0 meV per atom, V 22.0 A^3/atom. Number 11: total moment 0.00 μB/atom, formation energy (no corrections) -285.5 meV per atom, V 22.3 A^3/atom. Number 12: total moment 0.00 μB/atom, formation energy (no corrections) -995.2 meV per atom, V 30.6 A^3/atom.